# 1
Entry from the Alexandria database: K2CdCuCl6 after structural relaxation (PBE).

Unit cell a=7.4238 b=7.2512 c=9.8554 alpha=90.00 beta=87.88 gamma=90.00
Last column: magnetic moment on the atom in μB.
Positions (direct):
Cd (0.0000, 0.5000, 0.5000)  0.01
Cd (0.5000, 0.0000, 0.0000)  0.01
K (0.9936, 0.0444, 0.7486)  0.00
K (0.5064, 0.5444, 0.7514)  0.00
K (0.4936, 0.4556, 0.2486)  0.00
K (0.0064, 0.9556, 0.2514)  0.00
Cl (0.9192, 0.5236, 0.2285)  0.09
Cl (0.6934, 0.2692, 0.9580)  0.02
Cl (0.1934, 0.2308, 0.4580)  0.02
Cl (0.6848, 0.2572, 0.5422)  0.09
Cl (0.8066, 0.7692, 0.5420)  0.02
Cl (0.3152, 0.7428, 0.4578)  0.09
Cl (0.0808, 0.4764, 0.7715)  0.09
Cl (0.5808, 0.0236, 0.2715)  0.09
Cl (0.1848, 0.2428, 0.0422)  0.09
Cl (0.4192, 0.9764, 0.7285)  0.09
Cl (0.8152, 0.7572, 0.9578)  0.09
Cl (0.3066, 0.7308, 0.0420)  0.02
Cu (0.0000, 0.5000, 0.0000)  0.50
Cu (0.5000, 0.0000, 0.5000)  0.50

Summary:
E_form (uncorrected): -1.240 eV/atom
VASP energy: -3.07 eV/atom
size of the total moment: 2.03 μB per cell


# 2
Entry from the Alexandria database: K3Cd2CuCl9 after structural relaxation (PBE).

Unit cell a=7.2413 b=7.2413 c=8.9076 alpha=90.00 beta=90.00 gamma=120.00
Last column: magnetic moment on the atom in μB.
Positions (direct):
Cl (0.5000, 0.5000, 0.0000)  0.01
Cl (0.1603, 0.3205, 0.3430)  0.06
Cl (0.8397, 0.1603, 0.6570)  0.06
Cl (0.8397, 0.6795, 0.6570)  0.06
Cl (0.0000, 0.5000, 0.0000)  0.01
Cl (0.6795, 0.8397, 0.3430)  0.06
Cl (0.1603, 0.8397, 0.3430)  0.06
Cl (0.3205, 0.1603, 0.6570)  0.06
Cl (0.5000, 0.0000, 0.0000)  0.01
K (0.6667, 0.3333, 0.3364)  0.00
K (0.0000, 0.0000, 0.0000)  0.00
K (0.3333, 0.6667, 0.6636)  0.00
Cu (0.0000, 0.0000, 0.5000)  0.50
Cd (0.6667, 0.3333, 0.8225)  0.01
Cd (0.3333, 0.6667, 0.1775)  0.01

Summary:
E_form (uncorrected): -1.275 eV/atom
VASP energy: -3.00 eV/atom
size of the total moment: 1.02 μB per cell


# 3
Entry from the Alexandria database: K2CdCu2Cl6 after structural relaxation (PBE).

Unit cell a=7.2817 b=7.2872 c=7.4609 alpha=116.14 beta=90.00 gamma=119.98
Positions (direct):
Cl (0.8005, 0.1089, 0.7996)
Cl (0.7433, 0.4866, 0.6320)
Cl (0.6916, 0.8911, 0.2004)
Cl (0.3084, 0.1089, 0.7996)
Cl (0.1995, 0.8911, 0.2004)
Cl (0.2567, 0.5134, 0.3680)
Cu (0.0512, 0.1024, 0.2128)
Cu (0.9488, 0.8976, 0.7872)
K (0.7289, 0.4578, 0.1992)
K (0.2711, 0.5422, 0.8008)
Cd (0.5000, 0.0000, 0.5000)

Summary:
E_form (uncorrected): -1.152 eV/atom
VASP energy: -3.19 eV/atom
size of the total moment: 0.07 μB per cell


# 4
Entry from the Alexandria database: LiCdCuCl2 after structural relaxation (PBE).

Unit cell a=4.6231 b=5.3243 c=4.6231 alpha=90.00 beta=90.00 gamma=90.00
Positions (direct):
Li (0.0000, 0.0000, 0.0000)
Cl (0.0000, 0.0000, 0.5000)
Cl (0.5000, 0.0000, 0.0000)
Cu (0.5000, 0.5000, 0.5000)
Cd (0.0000, 0.5000, 0.0000)

Summary:
E_form (uncorrected): -0.196 eV/atom
VASP energy: -2.32 eV/atom
size of the total moment: 0.00 μB per cell


# 5
Entry from the Alexandria database: Na2CdCuCl6 after structural relaxation (PBE).

Unit cell a=7.2023 b=6.6508 c=7.6238 alpha=59.74 beta=56.49 gamma=58.68
Last column: magnetic moment on the atom in μB.
Positions (direct):
Cd (0.8175, 0.8238, 0.5471)  0.01
Cl (0.6082, 0.1666, 0.3003)  0.02
Cl (0.4278, 0.6777, 0.7813)  0.09
Cl (0.6750, 0.1078, 0.7912)  0.09
Cl (0.0795, 0.4689, 0.7342)  0.01
Cl (0.2212, 0.9712, 0.2313)  0.10
Cl (0.9851, 0.5518, 0.2453)  0.09
Na (0.5263, 0.5407, 0.4235)  0.00
Na (0.0002, 0.0294, 0.9392)  0.00
Cu (0.3209, 0.3237, 0.0218)  0.50

Summary:
E_form (uncorrected): -1.153 eV/atom
VASP energy: -3.03 eV/atom
size of the total moment: 1.00 μB per cell


# 6
Entry from the Alexandria database: CdCuPCl2 after structural relaxation (PBE).

Unit cell a=4.5277 b=4.5277 c=5.1961 alpha=90.00 beta=90.00 gamma=90.00
Positions (direct):
Cu (0.0000, 0.0000, 0.0000)
Cl (0.0000, 0.5000, 0.0000)
Cl (0.5000, 0.0000, 0.0000)
P (0.0000, 0.0000, 0.5000)
Cd (0.5000, 0.5000, 0.5000)

Summary:
E_form (uncorrected): 0.140 eV/atom
VASP energy: -2.68 eV/atom
size of the total moment: 0.00 μB per cell